A geometry-optimized Pr2ThGa structure. Source: Alexandria, functional GGA-PBE.

Structure (CIF):
```
data_Pr2ThGa
_symmetry_space_group_name_H-M 'R -3 m'
_symmetry_Int_Tables_number 166
_symmetry_space_group_name_Hall '-R 3 2"'
_cell_length_a 3.5357
_cell_length_b 3.5357
_cell_length_c 34.9868
_cell_angle_alpha 90.00
_cell_angle_beta 90.00
_cell_angle_gamma 120.00
loop_
_atom_site_label
_atom_site_fract_x
_atom_site_fract_y
_atom_site_fract_z
Pr1 0.0000 0.0000 0.1003
Th1 0.0000 0.0000 0.0000
Ga1 0.0000 0.0000 0.5000
```

E_tot: -59.521 eV/cell



A geometry-optimized Tl2FeSi structure. Source: Alexandria, functional GGA-PBE.

Structure (CIF):
```
data_Tl2FeSi
_symmetry_space_group_name_H-M 'R -3 m'
_symmetry_Int_Tables_number 166
_symmetry_space_group_name_Hall '-R 3 2"'
_cell_length_a 3.3733
_cell_length_b 3.3733
_cell_length_c 25.7168
_cell_angle_alpha 90.00
_cell_angle_beta 90.00
_cell_angle_gamma 120.00
loop_
_atom_site_label
_atom_site_fract_x
_atom_site_fract_y
_atom_site_fract_z
Tl1 0.0000 0.0000 0.2471
Fe1 0.0000 0.0000 0.5000
Si1 0.0000 0.0000 0.0000
```

E_tot: -47.166 eV/cell
Formation energy from raw total energies: 0.724 eV per atom



A geometry-optimized Zr2ScW structure. Source: Alexandria, functional GGA-PBE.

Structure (CIF):
```
data_Zr2ScW
_symmetry_space_group_name_H-M 'R 3 m'
_symmetry_Int_Tables_number 160
_symmetry_space_group_name_Hall 'R 3 -2"'
_cell_length_a 3.0661
_cell_length_b 3.0661
_cell_length_c 30.9430
_cell_angle_alpha 90.00
_cell_angle_beta 90.00
_cell_angle_gamma 120.00
loop_
_atom_site_label
_atom_site_fract_x
_atom_site_fract_y
_atom_site_fract_z
Zr1 0.0000 0.0000 0.0000
Zr2 0.0000 0.0000 0.2455
Sc1 0.0000 0.0000 0.7574
W1 0.0000 0.0000 0.4996
```

E_tot: -105.727 eV/cell



A geometry-optimized CsTlSe3 structure. Source: Alexandria, functional GGA-PBE.

Structure (CIF):
```
data_CsTlSe3
_symmetry_space_group_name_H-M 'P 1'
_symmetry_Int_Tables_number 1
_cell_length_a 4.710
_cell_length_b 7.535
_cell_length_c 12.000
_cell_angle_alpha 76.59
_cell_angle_beta 78.88
_cell_angle_gamma 72.42
loop_
_symmetry_equiv_pos_as_xyz
'x,y,z'
loop_
_atom_site_label
_atom_site_fract_x
_atom_site_fract_y
_atom_site_fract_z
Cs1 0.000 0.000 0.000
Cs2 0.387 0.501 0.501
Tl1 0.120 0.422 0.102
Tl2 0.762 0.926 0.601
Se1 0.309 0.729 0.763
Se2 0.467 0.944 0.263
Se3 0.520 0.185 0.775
Se4 0.607 0.227 0.264
Se5 0.724 0.446 0.763
Se6 0.912 0.684 0.275
```

E_tot: -32.243 eV/cell
Formation energy from raw total energies: -0.490 eV per atom



A geometry-optimized KCaLaGa2 structure. Source: Alexandria, functional GGA-PBE.

Structure (CIF):
```
data_KCaLaGa2
_symmetry_space_group_name_H-M 'P 4/m m m'
_symmetry_Int_Tables_number 123
_symmetry_space_group_name_Hall '-P 4 2'
_cell_length_a 5.484
_cell_length_b 5.484
_cell_length_c 5.407
_cell_angle_alpha 90.00
_cell_angle_beta 90.00
_cell_angle_gamma 90.00
loop_
_atom_site_label
_atom_site_fract_x
_atom_site_fract_y
_atom_site_fract_z
K1 0.000 0.000 0.000
Ca1 0.000 0.000 0.500
La1 0.500 0.500 0.000
Ga1 0.000 0.500 0.500
```

E_tot: -12.046 eV/cell



A geometry-optimized Pm6Co2PCl3 structure. Source: Alexandria, functional GGA-PBE.

Structure (CIF):
```
data_Pm6Co2PCl3
_symmetry_space_group_name_H-M 'C 1 2/m 1'
_symmetry_Int_Tables_number 12
_cell_length_a 6.984
_cell_length_b 12.090
_cell_length_c 7.666
_cell_angle_alpha 90.00
_cell_angle_beta 107.56
_cell_angle_gamma 90.00
loop_
_symmetry_equiv_pos_as_xyz
'x,y,z'
'-x,-y,-z'
'-x,y,-z'
'x,-y,z'
'x+1/2,y+1/2,z'
'-x+1/2,-y+1/2,-z'
'-x+1/2,y+1/2,-z'
'x+1/2,-y+1/2,z'
loop_
_atom_site_label
_atom_site_fract_x
_atom_site_fract_y
_atom_site_fract_z
Pm1 0.219 0.000 0.204
Pm2 0.242 0.326 0.204
Co1 0.000 0.167 0.000
P1 0.000 0.500 0.000
Cl1 0.000 0.000 0.500
Cl2 0.000 0.337 0.500
```

E_tot: -132.896 eV/cell
Formation energy from raw total energies: -1.065 eV per atom



A geometry-optimized Li2MgCoH8 structure. Source: Alexandria, functional GGA-PBE.

Structure (CIF):
```
data_Li2MgCoH8
_symmetry_space_group_name_H-M 'P -3 m 1'
_symmetry_Int_Tables_number 164
_symmetry_space_group_name_Hall '-P 3 2"'
_cell_length_a 4.2917
_cell_length_b 4.2917
_cell_length_c 5.3439
_cell_angle_alpha 90.00
_cell_angle_beta 90.00
_cell_angle_gamma 120.00
loop_
_atom_site_label
_atom_site_fract_x
_atom_site_fract_y
_atom_site_fract_z
Li1 0.3333 0.6667 0.3683
Mg1 0.0000 0.0000 0.0000
Co1 0.0000 0.0000 0.5000
H1 0.1658 0.3317 0.6678
H2 0.3333 0.6667 0.0122
```

E_tot: -40.169 eV/cell



A geometry-optimized Tl5Sb2I12 structure. Source: Alexandria, functional GGA-PBE.

Structure (CIF):
```
data_Tl5Sb2I12
_symmetry_space_group_name_H-M 'C 1 2/m 1'
_symmetry_Int_Tables_number 12
_cell_length_a 19.211
_cell_length_b 8.846
_cell_length_c 11.028
_cell_angle_alpha 90.00
_cell_angle_beta 110.33
_cell_angle_gamma 90.00
loop_
_symmetry_equiv_pos_as_xyz
'x,y,z'
'-x,-y,-z'
'-x,y,-z'
'x,-y,z'
'x+1/2,y+1/2,z'
'-x+1/2,-y+1/2,-z'
'-x+1/2,y+1/2,-z'
'x+1/2,-y+1/2,z'
loop_
_atom_site_label
_atom_site_fract_x
_atom_site_fract_y
_atom_site_fract_z
Tl1 0.000 0.000 0.000
Tl2 0.184 0.500 0.327
Tl3 0.223 0.500 0.872
Sb1 0.000 0.254 0.500
I1 0.007 0.000 0.694
I2 0.010 0.500 0.704
I3 0.128 0.254 0.058
I4 0.167 0.260 0.588
```

E_tot: -94.057 eV/cell
Formation energy from raw total energies: -0.440 eV per atom



A geometry-optimized Nb2TeH structure. Source: Alexandria, functional GGA-PBE.

Structure (CIF):
```
data_Nb2TeH
_symmetry_space_group_name_H-M 'I -4 2 d'
_symmetry_Int_Tables_number 122
_symmetry_space_group_name_Hall 'I -4 2bw'
_cell_length_a 5.098
_cell_length_b 5.098
_cell_length_c 10.962
_cell_angle_alpha 90.00
_cell_angle_beta 90.00
_cell_angle_gamma 90.00
loop_
_atom_site_label
_atom_site_fract_x
_atom_site_fract_y
_atom_site_fract_z
Nb1 0.068 0.250 0.125
Te1 0.000 0.000 0.500
H1 0.000 0.000 0.000
```

E_tot: -103.830 eV/cell



A geometry-optimized LaCuSe3 structure. Source: Alexandria, functional GGA-PBE.

Structure (CIF):
```
data_LaCuSe3
_symmetry_space_group_name_H-M 'P m -3 m'
_symmetry_Int_Tables_number 221
_symmetry_space_group_name_Hall '-P 4 2 3'
_cell_length_a 5.756
_cell_length_b 5.756
_cell_length_c 5.756
_cell_angle_alpha 90.00
_cell_angle_beta 90.00
_cell_angle_gamma 90.00
loop_
_atom_site_label
_atom_site_fract_x
_atom_site_fract_y
_atom_site_fract_z
La1 0.000 0.000 0.000
Cu1 0.500 0.500 0.500
Se1 0.000 0.000 0.500
```

E_tot: -19.024 eV/cell
Formation energy from raw total energies: 0.091 eV per atom



A geometry-optimized PmTm4Zn structure. Source: Alexandria, functional GGA-PBE.

Structure (CIF):
```
data_PmTm4Zn
_symmetry_space_group_name_H-M 'P 4/m m m'
_symmetry_Int_Tables_number 123
_symmetry_space_group_name_Hall '-P 4 2'
_cell_length_a 3.522
_cell_length_b 3.522
_cell_length_c 13.618
_cell_angle_alpha 90.00
_cell_angle_beta 90.00
_cell_angle_gamma 90.00
loop_
_atom_site_label
_atom_site_fract_x
_atom_site_fract_y
_atom_site_fract_z
Pm1 0.000 0.000 0.000
Tm1 0.000 0.000 0.371
Tm2 0.500 0.500 0.187
Zn1 0.500 0.500 0.500
```

E_tot: -24.482 eV/cell



A geometry-optimized CsHfGaS4 structure. Source: Alexandria, functional GGA-PBE.

Structure (CIF):
```
data_CsHfGaS4
_symmetry_space_group_name_H-M 'P 1 21/m 1'
_symmetry_Int_Tables_number 11
_cell_length_a 6.353
_cell_length_b 6.857
_cell_length_c 8.849
_cell_angle_alpha 90.00
_cell_angle_beta 95.02
_cell_angle_gamma 90.00
loop_
_symmetry_equiv_pos_as_xyz
'x,y,z'
'-x,-y,-z'
'-x,y+1/2,-z'
'x,-y+1/2,z'
loop_
_atom_site_label
_atom_site_fract_x
_atom_site_fract_y
_atom_site_fract_z
Cs1 0.221 0.250 0.060
Hf1 0.172 0.750 0.459
Ga1 0.351 0.250 0.643
S1 0.102 0.004 0.673
S2 0.344 0.750 0.206
S3 0.464 0.250 0.411
```

E_tot: -77.571 eV/cell
Formation energy from raw total energies: -1.206 eV per atom